Record 1
Here is a relaxed structure of Cs2K2ZnAs2 from OQMD. Energies are from PBE.

extended XYZ file:
```
7
Lattice="2.965 1.712 9.707 -2.965 1.712 9.707 0.000 -3.424 9.707" Properties=species:S:1:pos:R:3 pbc="T T T"
As 0.000 0.000 26.799
K 0.000 0.000 11.062
K 0.000 0.000 18.059
Cs 0.000 0.000 6.028
Zn 0.000 0.000 0.000
Cs 0.000 0.000 23.093
As 0.000 0.000 2.322
```

Energy relative to the lowest polymorph listed for this composition (kJ per mole of atoms): 0.0
SG: R-3m

Record 2
Here is a relaxed structure of CsLuAs2S7 from OQMD. Energies are from PBE.

extended XYZ file:
```
11
Lattice="-0.565 5.443 -4.253 -2.130 -4.769 -4.555 -6.216 0.861 3.094" Properties=species:S:1:pos:R:3 pbc="T T T"
As -4.953 -0.572 -5.841
S -5.834 0.696 -0.560
S -3.146 -1.235 -1.671
Cs -1.968 -3.716 -4.524
S -6.293 -0.680 -4.145
As -4.408 -0.830 0.040
S -3.141 0.420 -5.167
S -2.302 2.405 -2.390
S -3.687 5.785 -2.709
Lu -4.447 0.819 -2.856
S -6.016 2.999 -3.210
```

SG: C2

Record 3
Here is a relaxed structure of CsMgNiAs from OQMD. Energies are from PBE.

extended XYZ file:
```
4
Lattice="0.000 3.534 3.534 3.534 0.000 3.534 3.534 3.534 0.000" Properties=species:S:1:pos:R:3 pbc="T T T"
Mg 5.301 5.301 5.301
Ni 1.767 1.767 1.767
Cs 0.000 0.000 0.000
As 3.534 3.534 3.534
```

Energy relative to the lowest polymorph listed for this composition (kJ per mole of atoms): 0.0
SG: F-43m

Record 4
Here is a relaxed structure of CsMgNiAs from OQMD. Energies are from PBE.

extended XYZ file:
```
4
Lattice="0.036 1.235 5.103 1.587 4.763 1.537 -3.483 3.444 1.892" Properties=species:S:1:pos:R:3 pbc="T T T"
As 0.000 0.000 0.000
Mg -1.395 7.082 6.399
Cs -0.465 2.361 2.133
Ni -0.930 4.721 4.266
```

Energy relative to the lowest polymorph listed for this composition (kJ per mole of atoms): 8.6
SG: F-43m

Record 5
Here is a relaxed structure of CsMgNiAs from OQMD. Energies are from PBE.

extended XYZ file:
```
4
Lattice="-3.158 -1.541 3.760 -4.076 2.871 1.275 -4.749 -1.626 -1.133" Properties=species:S:1:pos:R:3 pbc="T T T"
Mg -8.986 -0.222 2.926
As -2.995 -0.074 0.975
Ni -5.991 -0.148 1.951
Cs 0.000 0.000 0.000
```

Energy relative to the lowest polymorph listed for this composition (kJ per mole of atoms): 9.5
SG: F-43m

Record 6
Here is a relaxed structure of CsMg2NiAs2 from OQMD. Energies are from PBE.

extended XYZ file:
```
6
Lattice="-3.068 -1.265 2.972 3.203 -0.664 3.024 -0.805 8.161 2.643" Properties=species:S:1:pos:R:3 pbc="T T T"
As -0.636 6.170 5.309
Mg -1.564 -0.329 1.584
As -0.182 1.849 0.599
Mg 1.572 -0.028 1.610
Ni -0.085 0.582 3.499
Cs -0.511 5.186 1.680
```

SG: P4mm

Record 7
Here is a relaxed structure of CsMgAsPt from OQMD. Energies are from PBE.

extended XYZ file:
```
4
Lattice="0.000 3.694 3.694 3.694 0.000 3.694 3.694 3.694 0.000" Properties=species:S:1:pos:R:3 pbc="T T T"
Pt 3.694 3.694 3.694
Cs 1.847 1.847 1.847
As 0.000 0.000 0.000
Mg 5.541 5.541 5.541
```

Energy relative to the lowest polymorph listed for this composition (kJ per mole of atoms): 10.6
SG: F-43m

Record 8
Here is a relaxed structure of CsMgAsPt from OQMD. Energies are from PBE.

extended XYZ file:
```
4
Lattice="0.000 3.593 3.593 3.593 0.000 3.593 3.593 3.593 0.000" Properties=species:S:1:pos:R:3 pbc="T T T"
As 1.797 1.797 1.797
Cs 0.000 0.000 0.000
Mg 5.390 5.390 5.390
Pt 3.593 3.593 3.593
```

Energy relative to the lowest polymorph listed for this composition (kJ per mole of atoms): 0.0
SG: F-43m

| no. | total energy (eV per cell) |
| --- | --- |
| 1 | -17.62 |
| 2 | -51.27 |
| 3 | -10.48 |
| 4 | -10.12 |
| 5 | -10.08 |
| 6 | -20.25 |
| 7 | -11.45 |
| 8 | -11.89 |